VASP calculation (PBE-GGA) on crystalline Na2ThSi4 at its relaxed geometry.

Summary:
Total magnetization, μB per atom: 0.00
ρ, Mg/m³: 3.77
Uncorrected formation energy, eV/atom: -0.15

```
data_Na2ThSi4
_chemical_formula_sum 'Na6 Th3 Si12'
_cell_length_a 3.8900
_cell_length_b 3.8900
_cell_length_c 39.3771
_cell_angle_alpha 90.00
_cell_angle_beta 90.00
_cell_angle_gamma 120.00
_space_group_name_H-M_alt 'R -3 m'
_space_group_IT_number 166
_space_group_name_Hall '-R 3 2"'
loop_
_atom_site_label
_atom_site_type_symbol
_atom_site_fract_x
_atom_site_fract_y
_atom_site_fract_z
_atom_site_occupancy
Na1 Na 0.0000 0.0000 0.1271 1
Th1 Th 0.0000 0.0000 0.0000 1
Si1 Si 0.0000 0.0000 0.2626 1
Si2 Si 0.0000 0.0000 0.3855 1
```

VASP calculation (PBE-GGA) on crystalline Na3TiSi at its relaxed geometry.

Summary:
Total magnetization, μB per atom: 0.49
Offset from the most stable computed form, meV/atom: 358.9
ρ, Mg/m³: 1.36
Uncorrected formation energy, eV/atom: 1.44

```
data_Na3TiSi
_chemical_formula_sum 'Na3 Ti1 Si1'
_cell_length_a 5.6175
_cell_length_b 5.6175
_cell_length_c 5.6175
_cell_angle_alpha 90.00
_cell_angle_beta 90.00
_cell_angle_gamma 90.00
_space_group_name_H-M_alt 'P m -3 m'
_space_group_IT_number 221
_space_group_name_Hall '-P 4 2 3'
loop_
_atom_site_label
_atom_site_type_symbol
_atom_site_fract_x
_atom_site_fract_y
_atom_site_fract_z
_atom_site_occupancy
Na1 Na 0.0000 0.0000 0.5000 1
Ti1 Ti 0.0000 0.0000 0.0000 1
Si1 Si 0.5000 0.5000 0.5000 1
```

VASP calculation (PBE-GGA) on crystalline Na3TiSi at its relaxed geometry.

Summary:
Total magnetization, μB per atom: 0.04
Offset from the most stable computed form, meV/atom: 0.0
ρ, Mg/m³: 1.49
Uncorrected formation energy, eV/atom: 1.08

```
data_Na3TiSi
_chemical_formula_sum 'Na3 Ti1 Si1'
_cell_length_a 5.4494
_cell_length_b 5.4494
_cell_length_c 5.4494
_cell_angle_alpha 90.00
_cell_angle_beta 90.00
_cell_angle_gamma 90.00
_space_group_name_H-M_alt 'P m -3 m'
_space_group_IT_number 221
_space_group_name_Hall '-P 4 2 3'
loop_
_atom_site_label
_atom_site_type_symbol
_atom_site_fract_x
_atom_site_fract_y
_atom_site_fract_z
_atom_site_occupancy
Na1 Na 0.0000 0.0000 0.5000 1
Ti1 Ti 0.5000 0.5000 0.5000 1
Si1 Si 0.0000 0.0000 0.0000 1
```

Repeat the first record exactly.
VASP calculation (PBE-GGA) on crystalline Na2ThSi4 at its relaxed geometry.

Summary:
Total magnetization, μB per atom: 0.00
ρ, Mg/m³: 3.77
Uncorrected formation energy, eV/atom: -0.15

```
data_Na2ThSi4
_chemical_formula_sum 'Na6 Th3 Si12'
_cell_length_a 3.8900
_cell_length_b 3.8900
_cell_length_c 39.3771
_cell_angle_alpha 90.00
_cell_angle_beta 90.00
_cell_angle_gamma 120.00
_space_group_name_H-M_alt 'R -3 m'
_space_group_IT_number 166
_space_group_name_Hall '-R 3 2"'
loop_
_atom_site_label
_atom_site_type_symbol
_atom_site_fract_x
_atom_site_fract_y
_atom_site_fract_z
_atom_site_occupancy
Na1 Na 0.0000 0.0000 0.1271 1
Th1 Th 0.0000 0.0000 0.0000 1
Si1 Si 0.0000 0.0000 0.2626 1
Si2 Si 0.0000 0.0000 0.3855 1
```